VASP calculation (GGA-PBEsol) on an optimized crystal structure of TaNb2IrRu.

Lattice parameters (Å, degrees): 4.7534 4.7534 4.5719 90.00 90.00 90.00
Last column: nearest neighbours and their distance in Å.
Atoms (fractional coordinates):
1 Ta 0.0000 0.0000 0.0000  8 Nb 3.30, 4 Ru 3.36
2 Nb 0.0000 0.5000 0.5000  2 Ir 2.38
3 Nb 0.5000 0.0000 0.5000  2 Ir 2.38
4 Ir 0.5000 0.5000 0.5000  2 Ru 2.29, 4 Nb 2.38
5 Ru 0.5000 0.5000 0.0000  2 Ir 2.29

Summary:
Its formation enthalpy at 0 K is 683 kJ/mol of formula units. The total energy comes out at -0.34627 Ha/atom.

VASP calculation (GGA-PBEsol) on an optimized crystal structure of Nb15IrS32.

Lattice parameters (Å, degrees): 8.8134 8.8179 13.0196 106.81 106.52 98.58
Last column: nearest neighbours and their distance in Å.
Atoms (fractional coordinates):
1 Nb 0.0000 0.0000 0.0000  6 S 2.36-2.56
2 Nb 0.0085 0.5015 0.5004  6 S 2.39-2.55
3 Nb 0.1399 0.9114 0.4990  6 S 2.40-2.54
4 Nb 0.2510 0.7529 0.9996  6 S 2.40-2.56
5 Nb 0.2727 0.2688 0.4995  6 S 2.44-2.52
6 Nb 0.3870 0.6341 0.5005  6 S 2.43-2.52
7 Nb 0.3913 0.1396 0.9991  6 S 2.42-2.49
8 Nb 0.5079 0.0234 0.4995  6 S 2.45-2.51
9 Nb 0.5345 0.5332 0.9997  6 S 2.36-2.56
10 Nb 0.6228 0.9109 0.9992  6 S 2.44-2.54
11 Nb 0.6435 0.3895 0.4999  6 S 2.45-2.51
12 Nb 0.7646 0.7878 0.4987  6 S 2.41-2.56
13 Nb 0.7820 0.2856 0.0000  6 S 2.40-2.57
14 Nb 0.8808 0.1467 0.4993  6 S 2.44-2.52
15 Nb 0.8955 0.6400 0.9996  6 S 2.43-2.56
16 Ir 0.1164 0.4183 0.9993  6 S 2.38-2.40
17 S 0.9997 0.5176 0.1418  1 Ir 2.38, 2 Nb 2.43
18 S 0.0183 0.5349 0.8573  1 Ir 2.38, 2 Nb 2.43-2.44
19 S 0.0291 0.0402 0.3658  3 Nb 2.40-2.52
20 S 0.1235 0.3746 0.6332  3 Nb 2.39-2.52
21 S 0.1238 0.8815 0.1374  3 Nb 2.41-2.50
22 S 0.1544 0.4085 0.3663  3 Nb 2.44-2.49
23 S 0.1555 0.9105 0.8710  3 Nb 2.45-2.52
24 S 0.2270 0.2618 0.1120  1 Ir 2.40, 2 Nb 2.49-2.54
25 S 0.2402 0.7493 0.6255  3 Nb 2.45-2.54
26 S 0.2739 0.3065 0.8872  1 Ir 2.40, 2 Nb 2.49-2.54
27 S 0.2805 0.7871 0.3706  3 Nb 2.45-2.52
28 S 0.3655 0.6171 0.1270  1 Ir 2.40, 2 Nb 2.40-2.56
29 S 0.3753 0.1316 0.6373  3 Nb 2.44-2.48
30 S 0.4045 0.1606 0.3632  3 Nb 2.44-2.49
31 S 0.4051 0.6637 0.8676  3 Nb 2.45-2.51
32 S 0.4841 0.0048 0.1339  3 Nb 2.42-2.56
33 S 0.5003 0.5027 0.6347  3 Nb 2.43-2.51
34 S 0.5305 0.0498 0.8652  3 Nb 2.42-2.57
35 S 0.5348 0.5403 0.3710  3 Nb 2.45-2.51
36 S 0.6184 0.8774 0.6306  3 Nb 2.45-2.50
37 S 0.6225 0.3783 0.1276  3 Nb 2.47-2.51
38 S 0.6498 0.9127 0.3629  3 Nb 2.41-2.51
39 S 0.6546 0.4109 0.8624  3 Nb 2.40-2.50
40 S 0.7443 0.7636 0.1316  3 Nb 2.36-2.56
41 S 0.7465 0.2538 0.6350  3 Nb 2.44-2.49
42 S 0.7713 0.7890 0.8674  3 Nb 2.36-2.56
43 S 0.7746 0.2823 0.3608  3 Nb 2.44-2.49
44 S 0.8688 0.1301 0.1312  3 Nb 2.44-2.51
45 S 0.8699 0.6289 0.6286  3 Nb 2.45-2.56
46 S 0.9099 0.6659 0.3740  3 Nb 2.45-2.55
47 S 0.9183 0.1686 0.8726  1 Ir 2.39, 2 Nb 2.40-2.56
48 S 0.9984 0.0083 0.6346  3 Nb 2.43-2.50

Summary:
Its uncorrected formation energy is -1.0015 eV per atom. The excess energy over the best structure of this formula in the dataset is 0.000 eV/f.u. The total energy comes out at -0.27601 Ha/atom.

VASP calculation (GGA-PBEsol) on an optimized crystal structure of Nb9IrS20.

Lattice parameters (Å, degrees): 6.6552 8.9156 10.5243 77.11 81.41 68.12
Last column: nearest neighbours and their distance in Å.
Atoms (fractional coordinates):
1 Nb 0.0000 0.0000 0.0000  6 S 2.45-2.50
2 Nb 0.0719 0.2095 0.2164  6 S 2.36-2.58
3 Nb 0.2064 0.3964 0.3954  6 S 2.40-2.53
4 Nb 0.3061 0.5916 0.5895  6 S 2.42-2.57
5 Nb 0.4030 0.8173 0.8158  6 S 2.38-2.58
6 Nb 0.5970 0.1827 0.1842  6 S 2.38-2.58
7 Nb 0.6939 0.4084 0.4105  6 S 2.42-2.57
8 Nb 0.7936 0.6036 0.6046  6 S 2.40-2.53
9 Nb 0.9281 0.7905 0.7836  6 S 2.36-2.58
10 Ir 0.5000 0.0000 0.0000  6 S 2.40-2.41
11 S 0.0461 0.6903 0.4246  3 Nb 2.42-2.53
12 S 0.0592 0.5031 0.7710  3 Nb 2.41-2.52
13 S 0.1598 0.7086 0.9709  3 Nb 2.43-2.49
14 S 0.1635 0.8899 0.6262  3 Nb 2.36-2.57
15 S 0.2491 0.1021 0.8308  2 Nb 2.39-2.50, 1 Ir 2.41
16 S 0.2543 0.9203 0.1693  1 Ir 2.40, 2 Nb 2.45-2.53
17 S 0.3340 0.2814 0.0269  2 Nb 2.38-2.58, 1 Ir 2.40
18 S 0.3502 0.1073 0.3735  3 Nb 2.44-2.52
19 S 0.4521 0.4793 0.2280  3 Nb 2.40-2.58
20 S 0.4545 0.3029 0.5759  3 Nb 2.42-2.50
21 S 0.5455 0.6971 0.4241  3 Nb 2.42-2.50
22 S 0.5479 0.5207 0.7720  3 Nb 2.40-2.58
23 S 0.6498 0.8927 0.6265  3 Nb 2.44-2.52
24 S 0.6660 0.7186 0.9731  2 Nb 2.38-2.58, 1 Ir 2.40
25 S 0.7457 0.0797 0.8307  1 Ir 2.40, 2 Nb 2.45-2.53
26 S 0.7509 0.8979 0.1692  2 Nb 2.39-2.50, 1 Ir 2.41
27 S 0.8365 0.1101 0.3738  3 Nb 2.36-2.57
28 S 0.8402 0.2914 0.0291  3 Nb 2.43-2.49
29 S 0.9408 0.4969 0.2290  3 Nb 2.41-2.52
30 S 0.9539 0.3097 0.5754  3 Nb 2.42-2.53

Summary:
Its uncorrected formation energy is -0.9665 eV per atom. The total energy comes out at -0.27427 Ha/atom.

VASP calculation (GGA-PBEsol) on an optimized crystal structure of Nb15IrS32.

Lattice parameters (Å, degrees): 8.7926 8.7926 13.0399 106.87 106.87 97.89
Last column: nearest neighbours and their distance in Å.
Atoms (fractional coordinates):
1 Nb 0.0000 0.0000 0.0000  6 S 2.48-2.49
2 Nb 0.0000 0.5000 0.5000  6 S 2.47
3 Nb 0.1132 0.3606 0.0014  6 S 2.38-2.59
4 Nb 0.1313 0.8687 0.5000  6 S 2.44-2.49
5 Nb 0.2511 0.2511 0.4993  6 S 2.46-2.49
6 Nb 0.2714 0.7286 0.0000  6 S 2.36-2.60
7 Nb 0.3606 0.1132 0.0014  6 S 2.38-2.59
8 Nb 0.3808 0.6192 0.5000  6 S 2.46-2.51
9 Nb 0.5000 0.0000 0.5000  6 S 2.47
10 Nb 0.6192 0.3808 0.5000  6 S 2.46-2.51
11 Nb 0.6394 0.8868 0.9986  6 S 2.38-2.59
12 Nb 0.7286 0.2714 0.0000  6 S 2.36-2.60
13 Nb 0.7489 0.7489 0.5007  6 S 2.46-2.49
14 Nb 0.8687 0.1313 0.5000  6 S 2.44-2.49
15 Nb 0.8868 0.6394 0.9986  6 S 2.38-2.59
16 Ir 0.5000 0.5000 0.0000  6 S 2.40-2.41
17 S 0.0148 0.2739 0.1321  3 Nb 2.38-2.60
18 S 0.0261 0.7751 0.6331  3 Nb 2.47-2.48
19 S 0.0966 0.0966 0.8633  3 Nb 2.45-2.49
20 S 0.1014 0.5974 0.3663  3 Nb 2.44-2.51
21 S 0.1465 0.1465 0.6278  3 Nb 2.46-2.49
22 S 0.1524 0.6474 0.1318  3 Nb 2.45-2.51
23 S 0.2249 0.9739 0.3669  3 Nb 2.47-2.48
24 S 0.2319 0.4654 0.8673  2 Nb 2.36-2.59, 1 Ir 2.40
25 S 0.2739 0.0148 0.1321  3 Nb 2.38-2.60
26 S 0.2748 0.5242 0.6327  3 Nb 2.46-2.47
27 S 0.3474 0.3474 0.3623  3 Nb 2.46-2.49
28 S 0.3526 0.8476 0.8682  3 Nb 2.45-2.51
29 S 0.3971 0.3971 0.1252  1 Ir 2.41, 2 Nb 2.47
30 S 0.4026 0.8986 0.6337  3 Nb 2.44-2.51
31 S 0.4654 0.2319 0.8673  2 Nb 2.36-2.59, 1 Ir 2.40
32 S 0.4758 0.7252 0.3673  3 Nb 2.46-2.47
33 S 0.5242 0.2748 0.6327  3 Nb 2.46-2.47
34 S 0.5346 0.7681 0.1327  2 Nb 2.36-2.59, 1 Ir 2.40
35 S 0.5974 0.1014 0.3663  3 Nb 2.44-2.51
36 S 0.6029 0.6029 0.8748  1 Ir 2.41, 2 Nb 2.47
37 S 0.6474 0.1524 0.1318  3 Nb 2.45-2.51
38 S 0.6526 0.6526 0.6377  3 Nb 2.46-2.49
39 S 0.7252 0.4758 0.3673  3 Nb 2.46-2.47
40 S 0.7261 0.9852 0.8679  3 Nb 2.38-2.60
41 S 0.7681 0.5346 0.1327  2 Nb 2.36-2.59, 1 Ir 2.40
42 S 0.7751 0.0261 0.6331  3 Nb 2.47-2.48
43 S 0.8476 0.3526 0.8682  3 Nb 2.45-2.51
44 S 0.8535 0.8535 0.3722  3 Nb 2.46-2.49
45 S 0.8986 0.4026 0.6337  3 Nb 2.44-2.51
46 S 0.9034 0.9034 0.1367  3 Nb 2.45-2.49
47 S 0.9739 0.2249 0.3669  3 Nb 2.47-2.48
48 S 0.9852 0.7261 0.8679  3 Nb 2.38-2.60

Summary:
Its uncorrected formation energy is -0.9948 eV per atom. The excess energy over the best structure of this formula in the dataset is 0.321 eV/f.u. The total energy comes out at -0.27577 Ha/atom.

VASP calculation (GGA-PBEsol) on an optimized crystal structure of NbSbTe2Ir.

Lattice parameters (Å, degrees): 5.2469 5.2469 4.8827 90.00 90.00 90.00
Last column: nearest neighbours and their distance in Å.
Atoms (fractional coordinates):
1 Nb 0.0000 0.0000 0.0000  8 Te 3.58, 4 Sb 3.71
2 Sb 0.5000 0.5000 0.0000  2 Ir 2.44
3 Te 0.0000 0.5000 0.5000  2 Ir 2.62
4 Te 0.5000 0.0000 0.5000  2 Ir 2.62
5 Ir 0.5000 0.5000 0.5000  2 Sb 2.44, 4 Te 2.62

Summary:
Its uncorrected formation energy is 0.9385 eV per atom. The excess energy over the best structure of this formula in the dataset is 0.000 eV/f.u. The total energy comes out at -0.20258 Ha/atom.

VASP calculation (GGA-PBEsol) on an optimized crystal structure of NbSbTe2Ir.

Lattice parameters (Å, degrees): 5.1621 5.1621 5.2160 90.00 90.00 90.00
Last column: nearest neighbours and their distance in Å.
Atoms (fractional coordinates):
1 Nb 0.0000 0.0000 0.0000  4 Te 2.58, 2 Sb 2.61
2 Sb 0.0000 0.0000 0.5000  2 Nb 2.61
3 Te 0.0000 0.5000 0.0000  2 Nb 2.58
4 Te 0.5000 0.0000 0.0000  2 Nb 2.58
5 Ir 0.5000 0.5000 0.5000  4 Sb 3.65, 8 Te 3.67

Summary:
Its uncorrected formation energy is 1.2477 eV per atom. The excess energy over the best structure of this formula in the dataset is 1.546 eV/f.u. The total energy comes out at -0.19121 Ha/atom.

VASP calculation (GGA-PBEsol) on an optimized crystal structure of Nb3IrSe8.

Lattice parameters (Å, degrees): 6.8290 6.8290 13.8115 111.46 111.46 60.35
Last column: nearest neighbours and their distance in Å.
Atoms (fractional coordinates):
1 Nb 0.1405 0.8595 0.7500  6 Se 2.57-2.62
2 Nb 0.1501 0.3806 0.7476  6 Se 2.52-2.67
3 Nb 0.3806 0.1501 0.2476  6 Se 2.52-2.67
4 Nb 0.6194 0.8499 0.7524  6 Se 2.52-2.67
5 Nb 0.8499 0.6194 0.2524  6 Se 2.52-2.67
6 Nb 0.8595 0.1405 0.2500  6 Se 2.57-2.62
7 Ir 0.4296 0.5704 0.2500  6 Se 2.52-2.53
8 Ir 0.5704 0.4296 0.7500  6 Se 2.52-2.53
9 Se 0.0198 0.7133 0.1382  1 Ir 2.53, 2 Nb 2.62-2.66
10 Se 0.0310 0.7651 0.8842  3 Nb 2.55-2.64
11 Se 0.2061 0.4845 0.6034  1 Ir 2.52, 2 Nb 2.54-2.57
12 Se 0.2349 0.9690 0.6158  3 Nb 2.55-2.64
13 Se 0.2731 0.5356 0.3797  2 Nb 2.52-2.67, 1 Ir 2.52
14 Se 0.2867 0.9802 0.3618  1 Ir 2.53, 2 Nb 2.62-2.66
15 Se 0.4644 0.7269 0.1203  2 Nb 2.52-2.67, 1 Ir 2.52
16 Se 0.4845 0.2061 0.1034  1 Ir 2.52, 2 Nb 2.54-2.57
17 Se 0.5155 0.7939 0.8966  1 Ir 2.52, 2 Nb 2.54-2.57
18 Se 0.5356 0.2731 0.8797  2 Nb 2.52-2.67, 1 Ir 2.52
19 Se 0.7133 0.0198 0.6382  1 Ir 2.53, 2 Nb 2.62-2.66
20 Se 0.7269 0.4644 0.6203  2 Nb 2.52-2.67, 1 Ir 2.52
21 Se 0.7651 0.0310 0.3842  3 Nb 2.55-2.64
22 Se 0.7939 0.5155 0.3966  1 Ir 2.52, 2 Nb 2.54-2.57
23 Se 0.9690 0.2349 0.1158  3 Nb 2.55-2.64
24 Se 0.9802 0.2867 0.8618  1 Ir 2.53, 2 Nb 2.62-2.66

Summary:
Its uncorrected formation energy is -0.7214 eV per atom. The excess energy over the best structure of this formula in the dataset is 0.000 eV/f.u. The total energy comes out at -0.25034 Ha/atom.

VASP calculation (GGA-PBEsol) on an optimized crystal structure of NbIr2Se2.

Lattice parameters (Å, degrees): 6.4275 6.4275 6.4275 145.12 145.12 50.16
Last column: nearest neighbours and their distance in Å.
Atoms (fractional coordinates):
1 Nb 0.0000 0.0000 0.0000  8 Se 3.04
2 Ir 0.2500 0.7500 0.5000  4 Se 2.48, 4 Ir 2.72
3 Ir 0.7500 0.2500 0.5000  4 Se 2.48, 4 Ir 2.72
4 Se 0.3841 0.3841 0.0000  4 Ir 2.48, 1 Se 2.70
5 Se 0.6159 0.6159 0.0000  4 Ir 2.48, 1 Se 2.70

Summary:
Its uncorrected formation energy is 0.5372 eV per atom. The total energy comes out at -0.26079 Ha/atom.

VASP calculation (GGA-PBEsol) on an optimized crystal structure of Nb3IrSe8.

Lattice parameters (Å, degrees): 6.7107 6.7107 8.6348 125.01 125.01 60.05
Last column: nearest neighbours and their distance in Å.
Atoms (fractional coordinates):
1 Nb 0.0000 0.0000 0.0000  6 Se 2.58-2.60
2 Nb 0.0000 0.5000 0.0000  6 Se 2.58-2.61
3 Nb 0.5000 0.0000 0.0000  6 Se 2.58-2.61
4 Ir 0.5000 0.5000 0.0000  6 Se 2.53
5 Se 0.0372 0.0372 0.7366  3 Nb 2.58
6 Se 0.0484 0.5320 0.7377  1 Ir 2.53, 2 Nb 2.60
7 Se 0.4680 0.9516 0.2623  1 Ir 2.53, 2 Nb 2.60
8 Se 0.4689 0.4689 0.2640  1 Ir 2.53, 2 Nb 2.61
9 Se 0.5311 0.5311 0.7360  1 Ir 2.53, 2 Nb 2.61
10 Se 0.5320 0.0484 0.7377  1 Ir 2.53, 2 Nb 2.60
11 Se 0.9516 0.4680 0.2623  1 Ir 2.53, 2 Nb 2.60
12 Se 0.9628 0.9628 0.2634  3 Nb 2.58

Summary:
Its uncorrected formation energy is -0.6621 eV per atom. The excess energy over the best structure of this formula in the dataset is 0.711 eV/f.u. The total energy comes out at -0.24817 Ha/atom.

VASP calculation (GGA-PBEsol) on an optimized crystal structure of Nb9IrSe20.

Lattice parameters (Å, degrees): 6.8469 9.2628 10.9706 95.55 98.99 111.65
Last column: nearest neighbours and their distance in Å.
Atoms (fractional coordinates):
1 Nb 0.0000 0.0000 0.0000  6 Se 2.57-2.61
2 Nb 0.1020 0.4110 0.5918  6 Se 2.56-2.67
3 Nb 0.1896 0.7762 0.2176  6 Se 2.50-2.70
4 Nb 0.3043 0.2235 0.7834  6 Se 2.50-2.70
5 Nb 0.3951 0.5886 0.4085  6 Se 2.56-2.65
6 Nb 0.6049 0.4114 0.5915  6 Se 2.56-2.65
7 Nb 0.6957 0.7765 0.2166  6 Se 2.50-2.70
8 Nb 0.8104 0.2238 0.7824  6 Se 2.50-2.70
9 Nb 0.8980 0.5890 0.4082  6 Se 2.56-2.67
10 Ir 0.5000 0.0000 0.0000  6 Se 2.50-2.51
11 Se 0.0417 0.8924 0.3829  3 Nb 2.54-2.67
12 Se 0.0512 0.4879 0.2256  3 Nb 2.50-2.65
13 Se 0.1390 0.2939 0.9694  3 Nb 2.61-2.63
14 Se 0.1759 0.9237 0.8272  1 Ir 2.51, 2 Nb 2.57-2.70
15 Se 0.2468 0.7049 0.5790  3 Nb 2.56-2.59
16 Se 0.2523 0.2945 0.4214  3 Nb 2.56-2.60
17 Se 0.3384 0.0759 0.1729  1 Ir 2.51, 2 Nb 2.57-2.70
18 Se 0.3680 0.7196 0.0340  1 Ir 2.50, 2 Nb 2.62
19 Se 0.4496 0.5110 0.7735  3 Nb 2.50-2.65
20 Se 0.4598 0.1108 0.6184  3 Nb 2.55-2.65
21 Se 0.5402 0.8892 0.3816  3 Nb 2.55-2.65
22 Se 0.5504 0.4890 0.2265  3 Nb 2.50-2.65
23 Se 0.6320 0.2804 0.9660  1 Ir 2.50, 2 Nb 2.62
24 Se 0.6616 0.9241 0.8271  1 Ir 2.51, 2 Nb 2.57-2.70
25 Se 0.7477 0.7055 0.5786  3 Nb 2.56-2.60
26 Se 0.7532 0.2951 0.4210  3 Nb 2.56-2.59
27 Se 0.8241 0.0763 0.1728  1 Ir 2.51, 2 Nb 2.57-2.70
28 Se 0.8610 0.7061 0.0306  3 Nb 2.61-2.63
29 Se 0.9488 0.5121 0.7744  3 Nb 2.50-2.65
30 Se 0.9583 0.1076 0.6171  3 Nb 2.54-2.67

Summary:
Its uncorrected formation energy is -0.7720 eV per atom. The total energy comes out at -0.25404 Ha/atom.

VASP calculation (GGA-PBEsol) on an optimized crystal structure of NbSi3Ir.

Lattice parameters (Å, degrees): 4.6655 4.6655 4.6655 90.00 90.00 90.00
Last column: nearest neighbours and their distance in Å.
Atoms (fractional coordinates):
1 Nb 0.0000 0.0000 0.0000  6 Si 2.33
2 Si 0.0000 0.0000 0.5000  2 Nb 2.33
3 Si 0.0000 0.5000 0.0000  2 Nb 2.33
4 Si 0.5000 0.0000 0.0000  2 Nb 2.33
5 Ir 0.5000 0.5000 0.5000  12 Si 3.30

Summary:
Its uncorrected formation energy is 1.4685 eV per atom. The total energy comes out at -0.22448 Ha/atom.

VASP calculation (GGA-PBEsol) on an optimized crystal structure of Nb3SnIr.

Lattice parameters (Å, degrees): 4.8674 4.8674 4.8674 90.00 90.00 90.00
Last column: nearest neighbours and their distance in Å.
Atoms (fractional coordinates):
1 Nb 0.0000 0.0000 0.5000  2 Sn 2.43
2 Nb 0.0000 0.5000 0.0000  2 Sn 2.43
3 Nb 0.5000 0.0000 0.0000  2 Sn 2.43
4 Sn 0.0000 0.0000 0.0000  6 Nb 2.43
5 Ir 0.5000 0.5000 0.5000  12 Nb 3.44

Summary:
Its formation enthalpy at 0 K is 1000 kJ/mol of formula units. The total energy comes out at -0.26591 Ha/atom.